Record 1
# Cs2AgP2, optimized geometry, DFT PBE-GGA
# Calculated formation energy in eV/atom: -0.01
# M_tot in μB per cell: 2.03
# Symmetry: P4/mbm (127)
# E_tot in eV per atom: -3.087
# Calculated density in g/cm3: 4.0
data_Cs2AgP2
_chemical_formula_sum 'Cs4 Ag2 P4'
_space_group_name_H-M_alt 'P 1'
_space_group_IT_number 1
_space_group_name_Hall 'P 1'
_cell_length_a 8.299
_cell_length_b 8.299
_cell_length_c 5.250
_cell_angle_alpha 90.00
_cell_angle_beta 90.00
_cell_angle_gamma 90.00
loop_
_atom_site_label
_atom_site_type_symbol
_atom_site_fract_x
_atom_site_fract_y
_atom_site_fract_z
Cs1 Cs 0.201 0.701 0.500
Cs2 Cs 0.701 0.799 0.500
Cs3 Cs 0.799 0.299 0.500
Cs4 Cs 0.299 0.201 0.500
P1 P 0.413 0.913 0.000
P2 P 0.913 0.587 0.000
P3 P 0.587 0.087 0.000
P4 P 0.087 0.413 0.000
Ag1 Ag 0.000 0.000 0.000
Ag2 Ag 0.500 0.500 0.000

=====

Record 2
# Cs2AgP, optimized geometry, DFT PBE-GGA
# Calculated formation energy in eV/atom: 0.45
# M_tot in μB per cell: 4.00
# Symmetry: I-42d (122)
# E_tot in eV per atom: -2.043
# Calculated density in g/cm3: 2.4
data_Cs2AgP
_chemical_formula_sum 'Cs4 Ag2 P2'
_space_group_name_H-M_alt 'P 1'
_space_group_IT_number 1
_space_group_name_Hall 'P 1'
_cell_length_a 7.426
_cell_length_b 7.426
_cell_length_c 11.423
_cell_angle_alpha 71.03
_cell_angle_beta 71.03
_cell_angle_gamma 90.00
loop_
_atom_site_label
_atom_site_type_symbol
_atom_site_fract_x
_atom_site_fract_y
_atom_site_fract_z
Cs1 Cs 0.604 0.125 0.250
Cs2 Cs 0.146 0.625 0.250
Cs3 Cs 0.375 0.396 0.750
Cs4 Cs 0.875 0.854 0.750
P1 P 0.500 0.500 0.000
P2 P 0.250 0.750 0.500
Ag1 Ag 0.000 0.000 0.000
Ag2 Ag 0.750 0.250 0.500

=====

Q: Which formula does entry 1 have?
A: Cs2AgP2

=====

Q: Which formula does entry 2 have?
A: Cs2AgP

=====

Q: Among the records above, which one has the highest M_tot?
A: Cs2AgP

=====

Q: What is the M_tot in the first record?
A: 2.03 μB per cell